Record 1
Crystalline CoNiP2 at its relaxed geometry. Source: Alexandria via LeMat-Bulk, functional PBE.

Properties
- E_form: 339 meV/atom
- Distance to the lowest polymorph of the same formula: 0.683 eV/atom
- Space group: No. 216

a = 4.070 Å, b = 4.070 Å, c = 4.070 Å
α = 60.00°, β = 60.00°, γ = 60.00°
Site moments in Bohr magnetons follow the coordinates.
Element x y z (fractional)
1 Co 0.500 0.500 0.500  0.80
2 Ni 0.250 0.250 0.250  0.15
3 P 0.000 0.000 0.000  0.02
4 P 0.750 0.750 0.750  0.01

---

Record 2
Crystalline SrTl3 at its relaxed geometry. Source: Alexandria via LeMat-Bulk, functional PBE.

Properties
- E_form: -232 meV/atom
- Space group: No. 71

a = 4.509 Å, b = 5.326 Å, c = 6.364 Å
α = 114.74°, β = 110.75°, γ = 90.00°
Element x y z (fractional)
1 Sr 0.000 0.917 0.000
2 Tl 0.241 0.657 0.482
3 Tl 0.500 0.417 0.000
4 Tl 0.759 0.175 0.518

---

Record 3
Crystalline Tb12Sm2Y5 at its relaxed geometry. Source: Alexandria via LeMat-Bulk, functional PBE.

Properties
- E_form: 66 meV/atom
- Distance to the lowest polymorph of the same formula: 0.000 eV/atom
- Space group: No. 2

a = 6.307 Å, b = 9.057 Å, c = 13.872 Å
α = 127.84°, β = 94.74°, γ = 92.09°
Element x y z (fractional)
1 Tb 0.982 0.110 0.272
2 Tb 0.076 0.783 0.949
3 Tb 0.600 0.728 0.055
4 Tb 0.179 0.547 0.344
5 Tb 0.648 0.610 0.250
6 Tb 0.502 0.937 0.612
7 Tb 0.498 0.063 0.388
8 Tb 0.821 0.453 0.656
9 Tb 0.352 0.390 0.750
10 Tb 0.924 0.217 0.051
11 Tb 0.400 0.272 0.945
12 Tb 0.018 0.890 0.728
13 Sm 0.547 0.835 0.842
14 Sm 0.453 0.165 0.158
15 Y 0.275 0.489 0.554
16 Y 0.127 0.668 0.155
17 Y 0.000 0.000 0.500
18 Y 0.873 0.332 0.845
19 Y 0.725 0.511 0.446

---

Record 4
Crystalline CsBaHg at its relaxed geometry. Source: Alexandria via LeMat-Bulk, functional PBE.

Properties
- E_form: -212 meV/atom
- Distance to the lowest polymorph of the same formula: 0.000 eV/atom
- Space group: No. 107

a = 4.424 Å, b = 4.424 Å, c = 8.914 Å
α = 104.37°, β = 104.37°, γ = 90.00°
Element x y z (fractional)
1 Cs 0.030 0.030 0.060
2 Hg 0.686 0.686 0.372
3 Ba 0.284 0.284 0.568

---

Record 5
Crystalline PrScTlPt at its relaxed geometry. Source: Alexandria via LeMat-Bulk, functional PBE.

Properties
- E_form: -568 meV/atom
- Space group: No. 216

a = 5.137 Å, b = 5.137 Å, c = 5.137 Å
α = 60.00°, β = 60.00°, γ = 60.00°
Element x y z (fractional)
1 Pr 0.750 0.750 0.750
2 Sc 0.250 0.250 0.250
3 Tl 0.000 0.000 0.000
4 Pt 0.500 0.500 0.500

---

Record 6
Crystalline K2AgIr at its relaxed geometry. Source: Alexandria via LeMat-Bulk, functional PBE.

Properties
- E_form: 557 meV/atom
- Distance to the lowest polymorph of the same formula: 0.035 eV/atom
- Space group: No. 99

a = 3.657 Å, b = 3.657 Å, c = 9.768 Å
α = 90.00°, β = 90.00°, γ = 90.00°
Element x y z (fractional)
1 Ag 0.000 0.000 0.589
2 Ir 0.500 0.500 0.661
3 K 0.000 0.000 0.907
4 K 0.500 0.500 0.343

---

Record 7
Crystalline ZrTcAs2Se at its relaxed geometry. Source: Alexandria via LeMat-Bulk, functional PBE.

Properties
- Distance to the lowest polymorph of the same formula: 0.354 eV/atom
- Space group: No. 123

a = 5.185 Å, b = 5.185 Å, c = 5.119 Å
α = 90.00°, β = 90.00°, γ = 90.00°
Site moments in Bohr magnetons follow the coordinates.
Element x y z (fractional)
1 As 0.000 0.500 0.000  -0.14
2 As 0.500 0.000 0.000  -0.14
3 Se 0.000 0.000 0.500  -0.06
4 Tc 0.500 0.500 0.500  3.75
5 Zr 0.000 0.000 0.000  0.07

---

Record 8
Crystalline LaAs2Rh at its relaxed geometry. Source: Alexandria via LeMat-Bulk, functional PBE.

Properties
- E_form: -979 meV/atom
- Space group: No. 10

a = 4.141 Å, b = 4.594 Å, c = 4.685 Å
α = 76.03°, β = 90.00°, γ = 90.00°
Element x y z (fractional)
1 As 0.000 0.914 0.978
2 As 0.000 0.586 0.522
3 Rh 0.500 0.750 0.750
4 La 0.500 0.250 0.250

---

Record 9
Crystalline ZnTe2Rh at its relaxed geometry. Source: Alexandria via LeMat-Bulk, functional PBE.

Properties
- Energy: -3.866 eV per atom
- Space group: No. 166

a = 8.215 Å, b = 8.215 Å, c = 8.215 Å
α = 28.83°, β = 28.83°, γ = 28.83°
Element x y z (fractional)
1 Zn 0.000 0.000 0.000
2 Te 0.888 0.888 0.888
3 Te 0.112 0.112 0.112
4 Rh 0.500 0.500 0.500

---

Record 10
Crystalline CrSb2PRu at its relaxed geometry. Source: Alexandria via LeMat-Bulk, functional PBE.

Properties
- Energy: -5.449 eV per atom
- Space group: No. 123

a = 5.073 Å, b = 4.531 Å, c = 5.073 Å
α = 90.00°, β = 90.00°, γ = 90.00°
Site moments in Bohr magnetons follow the coordinates.
Element x y z (fractional)
1 Sb 0.000 0.000 0.500  0.01
2 Sb 0.500 0.000 0.000  0.03
3 Cr 0.000 0.500 0.000  -0.38
4 P 0.500 0.500 0.500  -0.02
5 Ru 0.000 0.000 0.000  0.03

---

Record 11
Crystalline Pm2DyAg at its relaxed geometry. Source: Alexandria via LeMat-Bulk, functional PBE.

Properties
- E_form: -50 meV/atom
- Distance to the lowest polymorph of the same formula: 0.072 eV/atom
- Space group: No. 63

a = 4.698 Å, b = 6.344 Å, c = 8.674 Å
α = 90.00°, β = 90.00°, γ = 111.69°
Element x y z (fractional)
1 Pm 0.361 0.722 0.542
2 Pm 0.639 0.278 0.458
3 Pm 0.361 0.722 0.958
4 Pm 0.639 0.278 0.042
5 Dy 0.950 0.900 0.250
6 Dy 0.050 0.100 0.750
7 Ag 0.776 0.552 0.750
8 Ag 0.224 0.448 0.250

---

Record 12
Crystalline Be2ReTe at its relaxed geometry. Source: Alexandria via LeMat-Bulk, functional PBE.

Properties
- Energy: -5.248 eV per atom
- Space group: No. 99

a = 3.226 Å, b = 3.226 Å, c = 5.451 Å
α = 90.00°, β = 90.00°, γ = 90.00°
Element x y z (fractional)
1 Re 0.000 0.000 0.453
2 Te 0.500 0.500 0.758
3 Be 0.000 0.000 0.040
4 Be 0.500 0.500 0.249